Entry 1:
A crystal of PbAu2 relaxed with PBEsol. Source: Alexandria via LeMat-Bulk, functional meta-GGA SCAN.

As for the energy of formation: -0.017 eV per atom. As for the uncorrected energy: -71.382 eV per atom.

The structure belongs to space group I4/mcm (No. 140); the cell edges are 5.4338, 5.4338 and 9.0387 Å and the angles 90.00°, 90.00° and 90.00°. The distinct sites, in fractional coordinates, are Pb at (0.0000, 0.0000, 0.2500) and Au at (0.1761, 0.3239, 0.0000).


Entry 2:
A crystal of TaAl2As relaxed with PBEsol. Source: Alexandria via LeMat-Bulk, functional meta-GGA SCAN.

As for the energy of formation: -0.122 eV per atom. As for the uncorrected energy: -25.691 eV per atom.

The structure belongs to space group Pm (No. 6); the cell edges are 2.8983, 4.6658 and 4.8582 Å and the angles 90.00°, 90.04° and 90.00°. The distinct sites, in fractional coordinates, are Ta at (0.0000, 0.0000, 0.0000), Al at (0.5001, 0.0000, 0.5001), Al at (0.5006, 0.5000, 0.1955) and As at (0.9987, 0.5000, 0.7097).


Entry 3:
A crystal of CaSc2Ru relaxed with PBEsol. Source: Alexandria via LeMat-Bulk, functional meta-GGA SCAN.

As for the energy of formation: -0.348 eV per atom. As for the uncorrected energy: -18.589 eV per atom. Its energy above the most stable polymorph in this dataset is 0.000 eV per atom.

The structure belongs to space group P4/mmm (No. 123); the cell edges are 3.2230, 3.2230 and 8.8661 Å and the angles 90.00°, 90.00° and 90.00°. The distinct sites, in fractional coordinates, are Ca at (0.0000, 0.0000, 0.0000), Sc at (0.5000, 0.5000, 0.3303) and Ru at (0.0000, 0.0000, 0.5000).


Entry 4:
A crystal of BiAs3H relaxed with PBEsol. Source: Alexandria via LeMat-Bulk, functional meta-GGA SCAN.

As for the uncorrected energy: -27.821 eV per atom.

The structure belongs to space group Pm-3m (No. 221); the cell edges are 4.4441, 4.4441 and 4.4441 Å and the angles 90.00°, 90.00° and 90.00°. The distinct sites, in fractional coordinates, are Bi at (0.0000, 0.0000, 0.0000), As at (0.0000, 0.5000, 0.5000) and H at (0.5000, 0.5000, 0.5000).


Entry 5:
A crystal of TiB2P relaxed with PBEsol. Source: Alexandria via LeMat-Bulk, functional meta-GGA SCAN.

As for the energy of formation: 0.040 eV per atom. As for the uncorrected energy: -10.282 eV per atom.

The structure belongs to space group I-42d (No. 122); the cell edges are 5.5690, 5.5690 and 5.5605 Å and the angles 90.00°, 90.00° and 90.00°. The distinct sites, in fractional coordinates, are Ti at (0.0000, 0.0000, 0.0000), B at (0.1968, 0.2500, 0.6250) and P at (0.0000, 0.0000, 0.5000).


Entry 6:
A crystal of Cd3P2 relaxed with PBEsol. Source: Alexandria via LeMat-Bulk, functional meta-GGA SCAN.

As for the energy of formation: -0.104 eV per atom. As for the uncorrected energy: -22.512 eV per atom. Its energy above the most stable polymorph in this dataset is 0.000 eV per atom.

The structure belongs to space group P4_2/nmc (No. 137, origin choice 2); the cell edges are 8.6978, 8.6978 and 12.2108 Å and the angles 90.00°, 90.00° and 90.00°. The distinct sites, in fractional coordinates, are Cd at (0.0067, 0.7500, 0.1021), Cd at (0.0324, 0.7500, 0.6478), Cd at (0.0356, 0.2500, 0.6311), P at (0.0071, 0.5071, 0.2500), P at (0.2500, 0.2500, 0.4911) and P at (0.2500, 0.7500, 0.5075).


Quick rundown of DOS at the Fermi energy, same order as above: 0.312 0.312 0.561 0.574 0.094 0.003 states/eV per atom
Quick rundown of density, same order as above: 14.961 7.831 4.166 8.225 3.869 5.740 g/cm³